# Pa2CuP | Alexandria via LeMat-Bulk | PBE | relaxed
data_Pa2CuP
_cell_length_a 3.3910
_cell_length_b 3.3910
_cell_length_c 28.1517
_cell_angle_alpha 90.00
_cell_angle_beta 90.00
_cell_angle_gamma 120.00
_symmetry_space_group_name_H-M 'R -3 m'
_symmetry_Int_Tables_number 166
_symmetry_space_group_name_Hall '-R 3 2"'
loop_
_atom_site_label
_atom_site_fract_x
_atom_site_fract_y
_atom_site_fract_z
Pa1 0.0000 0.0000 0.1000
Cu1 0.0000 0.0000 0.0000
P1 0.0000 0.0000 0.5000
# - total moment (μB per cell) = 0.00
# - formation energy from the elements (eV/atom) = 0.112
# - crystal system = trigonal
# - energy (eV/atom) = -7.01
# - N(E_F) (states/eV per atom) = 1.2105



# LaZrCu | Alexandria via LeMat-Bulk | PBE | relaxed
data_LaZrCu
_cell_length_a 9.061
_cell_length_b 7.773
_cell_length_c 4.791
_cell_angle_alpha 90.00
_cell_angle_beta 121.93
_cell_angle_gamma 90.00
_symmetry_space_group_name_H-M 'C 1 c 1'
_symmetry_Int_Tables_number 9
loop_
_symmetry_equiv_pos_as_xyz
'x,y,z'
'x,-y,z+1/2'
'x+1/2,y+1/2,z'
'x+1/2,-y+1/2,z+1/2'
loop_
_atom_site_label
_atom_site_fract_x
_atom_site_fract_y
_atom_site_fract_z
La1 0.000 0.179 0.000
Zr1 0.184 0.383 0.684
Cu1 0.336 0.063 0.838
# - total moment (μB per cell) = 0.00
# - formation energy from the elements (eV/atom) = 0.058
# - crystal system = monoclinic
# - energy (eV/atom) = -5.80
# - N(E_F) (states/eV per atom) = 0.9877
# - distance to the lowest polymorph of the same formula (meV/atom) = 107.7



# ZrTcNi2 | Alexandria via LeMat-Bulk | PBE | relaxed
data_ZrTcNi2
_cell_length_a 3.827
_cell_length_b 3.827
_cell_length_c 7.976
_cell_angle_alpha 90.00
_cell_angle_beta 90.00
_cell_angle_gamma 90.00
_symmetry_space_group_name_H-M 'I -4 m 2'
_symmetry_Int_Tables_number 119
_symmetry_space_group_name_Hall 'I -4 -2'
loop_
_atom_site_label
_atom_site_fract_x
_atom_site_fract_y
_atom_site_fract_z
Zr1 0.000 0.000 0.000
Tc1 0.000 0.500 0.250
Ni1 0.000 0.000 0.500
Ni2 0.000 0.500 0.750
# - total moment (μB per cell) = 4.05
# - formation energy from the elements (eV/atom) = -0.054
# - crystal system = tetragonal
# - energy (eV/atom) = -7.67
# - N(E_F) (states/eV per atom) = 1.2999
# - distance to the lowest polymorph of the same formula (meV/atom) = 210.4



# La2ZnCo | Alexandria via LeMat-Bulk | PBE | relaxed
data_La2ZnCo
_cell_length_a 5.140
_cell_length_b 5.140
_cell_length_c 3.642
_cell_angle_alpha 90.00
_cell_angle_beta 90.00
_cell_angle_gamma 90.00
_symmetry_space_group_name_H-M 'P 4/m m m'
_symmetry_Int_Tables_number 123
_symmetry_space_group_name_Hall '-P 4 2'
loop_
_atom_site_label
_atom_site_fract_x
_atom_site_fract_y
_atom_site_fract_z
La1 0.000 0.500 0.000
Zn1 0.000 0.000 0.500
Co1 0.500 0.500 0.500
# - total moment (μB per cell) = 0.38
# - formation energy from the elements (eV/atom) = -0.097
# - crystal system = tetragonal
# - energy (eV/atom) = -4.66
# - N(E_F) (states/eV per atom) = 0.8832



# Ac4PrPb | Alexandria via LeMat-Bulk | PBE | relaxed
data_Ac4PrPb
_cell_length_a 12.271
_cell_length_b 12.271
_cell_length_c 7.753
_cell_angle_alpha 90.00
_cell_angle_beta 90.00
_cell_angle_gamma 90.00
_symmetry_space_group_name_H-M 'I 41 m d'
_symmetry_Int_Tables_number 109
_symmetry_space_group_name_Hall 'I 4bw -2'
loop_
_atom_site_label
_atom_site_fract_x
_atom_site_fract_y
_atom_site_fract_z
Ac1 0.000 0.269 0.000
Ac2 0.000 0.271 0.496
Pr1 0.000 0.000 0.460
Pb1 0.000 0.000 0.982
# - total moment (μB per cell) = 1.97
# - formation energy from the elements (eV/atom) = 0.293
# - crystal system = tetragonal
# - energy (eV/atom) = -3.86
# - N(E_F) (states/eV per atom) = 1.5920



# Cu2H7Rh2 | Alexandria via LeMat-Bulk | PBE | relaxed
data_Cu2H7Rh2
_cell_length_a 3.285
_cell_length_b 4.711
_cell_length_c 11.260
_cell_angle_alpha 90.00
_cell_angle_beta 98.24
_cell_angle_gamma 90.00
_symmetry_space_group_name_H-M 'P 1 21 1'
_symmetry_Int_Tables_number 4
loop_
_symmetry_equiv_pos_as_xyz
'x,y,z'
'-x,y+1/2,-z'
loop_
_atom_site_label
_atom_site_fract_x
_atom_site_fract_y
_atom_site_fract_z
Cu1 0.054 0.000 0.109
Cu2 0.239 0.244 0.481
H1 0.071 0.517 0.144
H2 0.157 0.988 0.316
H3 0.288 0.822 0.576
H4 0.320 0.267 0.627
H5 0.378 0.922 0.753
H6 0.406 0.314 0.808
H7 0.472 0.656 0.951
Rh1 0.349 0.579 0.695
Rh2 0.451 0.009 0.901
# - total moment (μB per cell) = 0.00
# - crystal system = monoclinic
# - energy (eV/atom) = -4.15
# - N(E_F) (states/eV per atom) = 0.1958



# K3UTe6Pd2 | Alexandria via LeMat-Bulk | PBE | relaxed
data_K3UTe6Pd2
_cell_length_a 7.247
_cell_length_b 12.506
_cell_length_c 8.737
_cell_angle_alpha 90.00
_cell_angle_beta 106.09
_cell_angle_gamma 90.00
_symmetry_space_group_name_H-M 'C 1 2/m 1'
_symmetry_Int_Tables_number 12
loop_
_symmetry_equiv_pos_as_xyz
'x,y,z'
'-x,-y,-z'
'-x,y,-z'
'x,-y,z'
'x+1/2,y+1/2,z'
'-x+1/2,-y+1/2,-z'
'-x+1/2,y+1/2,-z'
'x+1/2,-y+1/2,z'
loop_
_atom_site_label
_atom_site_fract_x
_atom_site_fract_y
_atom_site_fract_z
K1 0.000 0.000 0.000
K2 0.000 0.339 0.000
U1 0.000 0.500 0.500
Te1 0.211 0.000 0.690
Te2 0.240 0.324 0.692
Pd1 0.000 0.167 0.500
# - energy relative to the elements, uncorrected (eV per formula unit) = -7.4
# - total moment (μB per cell) = 2.42
# - crystal system = monoclinic
# - energy (eV/atom) = -4.26
# - N(E_F) (states/eV per atom) = 0.8593



# SrNi4Ge12 | Alexandria via LeMat-Bulk | PBE | relaxed
data_SrNi4Ge12
_cell_length_a 8.472
_cell_length_b 8.472
_cell_length_c 8.472
_cell_angle_alpha 90.00
_cell_angle_beta 90.00
_cell_angle_gamma 90.00
_symmetry_space_group_name_H-M 'I m -3'
_symmetry_Int_Tables_number 204
_symmetry_space_group_name_Hall '-I 2 2 3'
loop_
_atom_site_label
_atom_site_fract_x
_atom_site_fract_y
_atom_site_fract_z
Sr1 0.000 0.000 0.000
Ni1 0.250 0.250 0.250
Ge1 0.000 0.163 0.349
# - total moment (μB per cell) = 0.00
# - formation energy from the elements (eV/atom) = -0.165
# - crystal system = cubic
# - energy (eV/atom) = -4.88
# - N(E_F) (states/eV per atom) = 0.5620



# CaDy2Er | Alexandria via LeMat-Bulk | PBE | relaxed
data_CaDy2Er
_cell_length_a 3.5761
_cell_length_b 3.5761
_cell_length_c 35.9655
_cell_angle_alpha 90.00
_cell_angle_beta 90.00
_cell_angle_gamma 120.00
_symmetry_space_group_name_H-M 'R 3 m'
_symmetry_Int_Tables_number 160
_symmetry_space_group_name_Hall 'R 3 -2"'
loop_
_atom_site_label
_atom_site_fract_x
_atom_site_fract_y
_atom_site_fract_z
Ca1 0.0000 0.0000 0.0000
Dy1 0.0000 0.0000 0.5774
Dy2 0.0000 0.0000 0.7549
Er1 0.0000 0.0000 0.1659
# - total moment (μB per cell) = 0.00
# - formation energy from the elements (eV/atom) = 0.063
# - crystal system = trigonal
# - energy (eV/atom) = -3.88
# - N(E_F) (states/eV per atom) = 1.3228
# - distance to the lowest polymorph of the same formula (meV/atom) = 0.0



# SnBSb2 | Alexandria via LeMat-Bulk | PBE | relaxed
data_SnBSb2
_cell_length_a 6.425
_cell_length_b 6.425
_cell_length_c 10.123
_cell_angle_alpha 90.00
_cell_angle_beta 90.00
_cell_angle_gamma 90.00
_symmetry_space_group_name_H-M 'I -4 2 d'
_symmetry_Int_Tables_number 122
_symmetry_space_group_name_Hall 'I -4 2bw'
loop_
_atom_site_label
_atom_site_fract_x
_atom_site_fract_y
_atom_site_fract_z
Sn1 0.000 0.000 0.000
B1 0.000 0.000 0.500
Sb1 0.166 0.250 0.625
# - energy relative to the elements, uncorrected (eV per formula unit) = 1.6
# - total moment (μB per cell) = 0.00
# - crystal system = tetragonal
# - energy (eV/atom) = -4.33
# - N(E_F) (states/eV per atom) = 0.4164
# - distance to the lowest polymorph of the same formula (meV/atom) = 0.0



# TaFeAg | Alexandria via LeMat-Bulk | PBE | relaxed
data_TaFeAg
_cell_length_a 2.753
_cell_length_b 2.753
_cell_length_c 12.620
_cell_angle_alpha 90.00
_cell_angle_beta 90.00
_cell_angle_gamma 90.00
_symmetry_space_group_name_H-M 'I 4 m m'
_symmetry_Int_Tables_number 107
_symmetry_space_group_name_Hall 'I 4 -2'
loop_
_atom_site_label
_atom_site_fract_x
_atom_site_fract_y
_atom_site_fract_z
Ta1 0.000 0.000 0.000
Fe1 0.000 0.000 0.342
Ag1 0.000 0.000 0.682
# - total moment (μB per cell) = 4.80
# - formation energy from the elements (eV/atom) = 0.308
# - crystal system = tetragonal
# - energy (eV/atom) = -7.41
# - N(E_F) (states/eV per atom) = 0.9282
# - distance to the lowest polymorph of the same formula (meV/atom) = 71.6